1.
Entry from Alexandria via LeMat-Bulk: a relaxed structure of Li2Zn2CdAu2 (GGA-PBE). Values from VASP.

Results
energy of formation = -32 kJ per mole of atoms

Geometry as Quantum ESPRESSO input:
```
&SYSTEM
  ibrav = 0, nat = 14, ntyp = 4
/
ATOMIC_SPECIES
Li 6.94 Li.upf
Zn 65.41 Zn.upf
Cd 112.41 Cd.upf
Au 196.97 Au.upf
ATOMIC_POSITIONS crystal
Li 0.1401 0.0000 0.4145
Li 0.3599 0.5000 0.5855
Li 0.6401 0.5000 0.4145
Li 0.8599 0.0000 0.5855
Zn 0.0694 0.5000 0.7158
Zn 0.4306 0.0000 0.2842
Zn 0.5694 0.0000 0.7158
Zn 0.9306 0.5000 0.2842
Cd 0.0000 0.0000 0.0000
Cd 0.5000 0.5000 0.0000
Au 0.2339 0.5000 0.2021
Au 0.2661 0.0000 0.7979
Au 0.7339 0.0000 0.2021
Au 0.7661 0.5000 0.7979
CELL_PARAMETERS angstrom
7.9533 0.0000 0.0000
0.0000 4.3699 0.0000
-2.3252 0.0000 6.7787
```

=====

2.
Entry from Alexandria via LeMat-Bulk: a relaxed structure of LiZn2Cd2Au5 (GGA-PBE). Values from VASP.

Results
energy of formation = -20 kJ per mole of atoms

Geometry as Quantum ESPRESSO input:
```
&SYSTEM
  ibrav = 0, nat = 20, ntyp = 4
/
ATOMIC_SPECIES
Li 6.94 Li.upf
Zn 65.41 Zn.upf
Cd 112.41 Cd.upf
Au 196.97 Au.upf
ATOMIC_POSITIONS crystal
Li 0.0000 0.0000 0.0000
Li 0.5000 0.5000 0.0000
Zn 0.1366 0.3634 0.0000
Zn 0.3634 0.8634 0.0000
Zn 0.6366 0.1366 0.0000
Zn 0.8634 0.6366 0.0000
Cd 0.1723 0.6723 0.0000
Cd 0.3277 0.1723 0.0000
Cd 0.6723 0.8277 0.0000
Cd 0.8277 0.3277 0.0000
Au 0.0000 0.5000 0.5000
Au 0.0273 0.2021 0.5000
Au 0.2021 0.9727 0.5000
Au 0.2979 0.4727 0.5000
Au 0.4727 0.7021 0.5000
Au 0.5000 0.0000 0.5000
Au 0.5273 0.2979 0.5000
Au 0.7021 0.5273 0.5000
Au 0.7979 0.0273 0.5000
Au 0.9727 0.7979 0.5000
CELL_PARAMETERS angstrom
9.9046 0.0000 0.0000
0.0000 9.9046 0.0000
0.0000 0.0000 3.7336
```

=====

3.
Entry from Alexandria via LeMat-Bulk: a relaxed structure of Li3Zn2Cd2Au4 (GGA-PBE). Values from VASP.

Results
energy of formation = -35 kJ per mole of atoms

Geometry as Quantum ESPRESSO input:
```
&SYSTEM
  ibrav = 0, nat = 11, ntyp = 4
/
ATOMIC_SPECIES
Li 6.94 Li.upf
Zn 65.41 Zn.upf
Cd 112.41 Cd.upf
Au 196.97 Au.upf
ATOMIC_POSITIONS crystal
Li 0.0000 0.0000 0.0000
Li 0.0000 0.0000 0.2605
Li 0.0000 0.0000 0.7395
Zn 0.3333 0.6667 0.0796
Zn 0.6667 0.3333 0.9204
Cd 0.3333 0.6667 0.5732
Cd 0.6667 0.3333 0.4268
Au 0.3333 0.6667 0.3146
Au 0.3333 0.6667 0.8431
Au 0.6667 0.3333 0.1569
Au 0.6667 0.3333 0.6854
CELL_PARAMETERS angstrom
4.4570 0.0000 0.0000
-2.2285 3.8599 0.0000
0.0000 0.0000 11.2301
```

=====

4.
Entry from Alexandria via LeMat-Bulk: a relaxed structure of Li2ZnCd2Au5 (GGA-PBE). Values from VASP.

Results
energy of formation = -25 kJ per mole of atoms

Geometry as Quantum ESPRESSO input:
```
&SYSTEM
  ibrav = 0, nat = 20, ntyp = 4
/
ATOMIC_SPECIES
Li 6.94 Li.upf
Zn 65.41 Zn.upf
Cd 112.41 Cd.upf
Au 196.97 Au.upf
ATOMIC_POSITIONS crystal
Li 0.1257 0.3743 0.0000
Li 0.3743 0.8743 0.0000
Li 0.6257 0.1257 0.0000
Li 0.8743 0.6257 0.0000
Zn 0.0000 0.0000 0.0000
Zn 0.5000 0.5000 0.0000
Cd 0.1690 0.6690 0.0000
Cd 0.3310 0.1690 0.0000
Cd 0.6690 0.8310 0.0000
Cd 0.8310 0.3310 0.0000
Au 0.0000 0.5000 0.5000
Au 0.0853 0.1947 0.5000
Au 0.1947 0.9147 0.5000
Au 0.3053 0.4147 0.5000
Au 0.4147 0.6947 0.5000
Au 0.5000 0.0000 0.5000
Au 0.5853 0.3053 0.5000
Au 0.6947 0.5853 0.5000
Au 0.8053 0.0853 0.5000
Au 0.9147 0.8053 0.5000
CELL_PARAMETERS angstrom
9.4963 0.0000 0.0000
0.0000 9.4963 0.0000
0.0000 0.0000 3.8661
```

=====

5.
Entry from Alexandria via LeMat-Bulk: a relaxed structure of LiZn2CdAu2 (GGA-PBE). Values from VASP.

Results
energy of formation = -32 kJ per mole of atoms

Geometry as Quantum ESPRESSO input:
```
&SYSTEM
  ibrav = 0, nat = 6, ntyp = 4
/
ATOMIC_SPECIES
Li 6.94 Li.upf
Zn 65.41 Zn.upf
Cd 112.41 Cd.upf
Au 196.97 Au.upf
ATOMIC_POSITIONS crystal
Li 0.0000 0.0000 0.0000
Zn 0.3333 0.6667 0.2193
Zn 0.6667 0.3333 0.7807
Cd 0.0000 0.0000 0.5000
Au 0.3333 0.6667 0.7425
Au 0.6667 0.3333 0.2575
CELL_PARAMETERS angstrom
4.5662 0.0000 0.0000
-2.2831 3.9544 0.0000
0.0000 0.0000 5.6183
```

=====

6.
Entry from Alexandria via LeMat-Bulk: a relaxed structure of LiZn2CdAu (GGA-PBE). Values from VASP.

Results
energy of formation = -21 kJ per mole of atoms

Geometry as Quantum ESPRESSO input:
```
&SYSTEM
  ibrav = 0, nat = 10, ntyp = 4
/
ATOMIC_SPECIES
Li 6.94 Li.upf
Zn 65.41 Zn.upf
Cd 112.41 Cd.upf
Au 196.97 Au.upf
ATOMIC_POSITIONS crystal
Li 0.0387 0.9613 0.7500
Li 0.9613 0.0387 0.2500
Zn 0.1934 0.8066 0.0640
Zn 0.1934 0.8066 0.4360
Zn 0.8066 0.1934 0.5640
Zn 0.8066 0.1934 0.9360
Cd 0.5000 0.5000 0.0000
Cd 0.5000 0.5000 0.5000
Au 0.3058 0.6942 0.7500
Au 0.6942 0.3058 0.2500
CELL_PARAMETERS angstrom
2.2313 -5.1021 0.0000
2.2313 5.1021 0.0000
0.0000 0.0000 7.8686
```

=====

7.
Entry from Alexandria via LeMat-Bulk: a relaxed structure of Li5ZnCd2Au2 (GGA-PBE). Values from VASP.

Results
energy of formation = -27 kJ per mole of atoms

Geometry as Quantum ESPRESSO input:
```
&SYSTEM
  ibrav = 0, nat = 20, ntyp = 4
/
ATOMIC_SPECIES
Li 6.94 Li.upf
Zn 65.41 Zn.upf
Cd 112.41 Cd.upf
Au 196.97 Au.upf
ATOMIC_POSITIONS crystal
Li 0.0000 0.5000 0.0000
Li 0.0762 0.1912 0.0000
Li 0.1912 0.9238 0.0000
Li 0.3088 0.4238 0.0000
Li 0.4238 0.6912 0.0000
Li 0.5000 0.0000 0.0000
Li 0.5762 0.3088 0.0000
Li 0.6912 0.5762 0.0000
Li 0.8088 0.0762 0.0000
Li 0.9238 0.8088 0.0000
Zn 0.0000 0.0000 0.5000
Zn 0.5000 0.5000 0.5000
Cd 0.1660 0.6660 0.5000
Cd 0.3340 0.1660 0.5000
Cd 0.6660 0.8340 0.5000
Cd 0.8340 0.3340 0.5000
Au 0.1313 0.3687 0.5000
Au 0.3687 0.8687 0.5000
Au 0.6313 0.1313 0.5000
Au 0.8687 0.6313 0.5000
CELL_PARAMETERS angstrom
9.8598 0.0000 0.0000
0.0000 9.8598 0.0000
0.0000 0.0000 3.7078
```

=====

8.
Entry from Alexandria via LeMat-Bulk: a relaxed structure of Li2ZrCdAu (GGA-PBE). Values from VASP.

Results
energy of formation = 41 kJ per mole of atoms

Geometry as Quantum ESPRESSO input:
```
&SYSTEM
  ibrav = 0, nat = 5, ntyp = 4
/
ATOMIC_SPECIES
Li 6.94 Li.upf
Zr 91.22 Zr.upf
Cd 112.41 Cd.upf
Au 196.97 Au.upf
ATOMIC_POSITIONS crystal
Li 0.0000 0.5000 0.0000
Li 0.5000 0.0000 0.0000
Zr 0.0000 0.0000 0.5000
Cd 0.5000 0.5000 0.0000
Au 0.5000 0.5000 0.5000
CELL_PARAMETERS angstrom
4.5398 0.0000 0.0000
0.0000 4.5398 0.0000
0.0000 0.0000 5.1221
```

=====

9.
Entry from Alexandria via LeMat-Bulk: a relaxed structure of LuCdAu (GGA-PBE). Values from VASP.

Results
energy of formation = -52 kJ per mole of atoms

Geometry as Quantum ESPRESSO input:
```
&SYSTEM
  ibrav = 0, nat = 6, ntyp = 3
/
ATOMIC_SPECIES
Lu 174.97 Lu.upf
Cd 112.41 Cd.upf
Au 196.97 Au.upf
ATOMIC_POSITIONS crystal
Lu 0.0000 0.0000 0.0000
Lu 0.5000 0.5000 0.5000
Cd 0.0000 0.0000 0.6795
Cd 0.5000 0.5000 0.1795
Au 0.0000 0.0000 0.3421
Au 0.5000 0.5000 0.8421
CELL_PARAMETERS angstrom
3.7295 0.0000 0.0000
0.0000 3.7295 0.0000
0.0000 0.0000 9.3889
```

=====

10.
Entry from Alexandria via LeMat-Bulk: a relaxed structure of LuCdAu (GGA-PBE). Values from VASP.

Results
energy of formation = -49 kJ per mole of atoms

Geometry as Quantum ESPRESSO input:
```
&SYSTEM
  ibrav = 0, nat = 12, ntyp = 3
/
ATOMIC_SPECIES
Lu 174.97 Lu.upf
Cd 112.41 Cd.upf
Au 196.97 Au.upf
ATOMIC_POSITIONS crystal
Lu 0.0000 0.0000 0.0000
Lu 0.0000 0.5000 0.5000
Lu 0.5000 0.0000 0.5000
Lu 0.5000 0.5000 0.0000
Cd 0.0000 0.0000 0.5000
Cd 0.0000 0.5000 0.0000
Cd 0.5000 0.0000 0.0000
Cd 0.5000 0.5000 0.5000
Au 0.2500 0.2500 0.2500
Au 0.2500 0.7500 0.7500
Au 0.7500 0.2500 0.7500
Au 0.7500 0.7500 0.2500
CELL_PARAMETERS angstrom
6.6981 0.0000 0.0000
0.0000 6.6981 0.0000
0.0000 0.0000 6.6981
```

=====

no.,calculated total energy (eV/atom)
1,-2.313
2,-2.470
3,-2.478
4,-2.592
5,-2.317
6,-1.952
7,-2.207
8,-2.888
9,-3.439
10,-3.411